Entry 1:
The following is a PBE calculation of a relaxed LaZrTa2 crystal, from the Alexandria database.

The calculation puts the energy relative to the lowest polymorph listed for this composition at 367 meV per atom. The calculated formation energy is 55.3 kJ per mole of atoms. The value obtained for the raw total energy is -8.72 eV per atom.

The structure belongs to space group P4/mmm (No. 123); the cell edges are 4.2429, 4.2429 and 5.0027 Å and the angles 90.00°, 90.00° and 90.00°. The distinct sites, in fractional coordinates, are La at (0.0000, 0.0000, 0.0000), Zr at (0.5000, 0.5000, 0.0000) and Ta at (0.0000, 0.5000, 0.5000).

=====

Entry 2:
The following is a PBE calculation of a relaxed TlCd4Hg3 crystal, from the Alexandria database.

The calculated formation energy is 3.3 kJ per mole of atoms. The value obtained for the raw total energy is -0.83 eV per atom.

The structure belongs to space group Pmn2_1 (No. 31); the cell edges are 7.9848, 8.2659 and 6.0901 Å and the angles 90.00°, 90.00° and 90.00°. The distinct sites, in fractional coordinates, are Tl at (0.0000, 0.0003, 0.0000), Cd at (0.0000, 0.0010, 0.5000), Cd at (0.0000, 0.4993, 0.4995), Cd at (0.2494, 0.7374, 0.2501), Hg at (0.0000, 0.4992, 0.9995) and Hg at (0.2493, 0.7436, 0.7500).

=====

Entry 3:
The following is a PBE calculation of a relaxed DyHo2Sn crystal, from the Alexandria database.

The calculation puts the energy relative to the lowest polymorph listed for this composition at 0 meV per atom. The calculated formation energy is -39.8 kJ per mole of atoms. The value obtained for the raw total energy is -4.85 eV per atom.

The structure belongs to space group P4/mmm (No. 123); the cell edges are 4.7908, 4.7908 and 4.7860 Å and the angles 90.00°, 90.00° and 90.00°. The distinct sites, in fractional coordinates, are Dy at (0.0000, 0.0000, 0.0000), Ho at (0.0000, 0.5000, 0.5000) and Sn at (0.5000, 0.5000, 0.0000).

=====

Entry 4:
The following is a PBE calculation of a relaxed Ca4Ac9Hg11 crystal, from the Alexandria database.

The calculated formation energy is -38.2 kJ per mole of atoms. The value obtained for the raw total energy is -2.41 eV per atom.

The structure belongs to space group Cmmm (No. 65); the cell edges are 17.4552, 23.4256 and 3.8221 Å and the angles 90.00°, 90.00° and 90.00°. The distinct sites, in fractional coordinates, are Ca at (0.1703, 0.0851, 0.0000), Ac at (0.0000, 0.0000, 0.0000), Ac at (0.1152, 0.2353, 0.0000), Ac at (0.1150, 0.4112, 0.0000), Hg at (0.0000, 0.1257, 0.5000), Hg at (0.0000, 0.3220, 0.5000), Hg at (0.0000, 0.5000, 0.5000), Hg at (0.2330, 0.5000, 0.5000) and Hg at (0.2351, 0.3236, 0.5000).

=====

Entry 5:
The following is a PBE calculation of a relaxed Sc2HgBiN crystal, from the Alexandria database.

Its uncorrected formation energy is -520 meV per atom. The value obtained for the raw total energy is -5.55 eV per atom.

The structure belongs to space group P4/mmm (No. 123); the cell edges are 4.4409, 4.4409 and 5.1267 Å and the angles 90.00°, 90.00° and 90.00°. The distinct sites, in fractional coordinates, are Sc at (0.0000, 0.5000, 0.0000), Hg at (0.0000, 0.0000, 0.5000), Bi at (0.5000, 0.5000, 0.5000) and N at (0.0000, 0.0000, 0.0000).

=====

Entry 6:
The following is a PBE calculation of a relaxed BaMg2Cl7 crystal, from the Alexandria database.

Its uncorrected formation energy is -1672 meV per atom. The value obtained for the raw total energy is -3.48 eV per atom.

The structure belongs to space group Cmmm (No. 65); the cell edges are 8.2388, 13.0735 and 4.7990 Å and the angles 90.00°, 90.00° and 90.00°. The distinct sites, in fractional coordinates, are Ba at (0.0000, 0.0000, 0.0000), Mg at (0.0000, 0.2994, 0.5000), Cl at (0.0000, 0.2789, 0.0000), Cl at (0.0000, 0.5000, 0.5000) and Cl at (0.1916, 0.1290, 0.5000).

=====

Entry 7:
The following is a PBE calculation of a relaxed Tb3TlPb2 crystal, from the Alexandria database.

The calculation puts the energy relative to the lowest polymorph listed for this composition at 0 meV per atom. The calculated formation energy is -39.1 kJ per mole of atoms. The value obtained for the raw total energy is -4.35 eV per atom.

The structure belongs to space group C2/c (No. 15); the cell edges are 16.8861, 6.4122 and 6.4708 Å and the angles 90.00°, 101.28° and 90.00°. The distinct sites, in fractional coordinates, are Tb at (0.0000, 0.1263, 0.2500), Tb at (0.1686, 0.3853, 0.5964), Tl at (0.0000, 0.3789, 0.7500) and Pb at (0.1635, 0.1104, 0.0706).

=====

Entry 8:
The following is a PBE calculation of a relaxed Nd2Pd4Au crystal, from the Alexandria database.

The calculated formation energy is -66.6 kJ per mole of atoms. The value obtained for the raw total energy is -5.49 eV per atom.

The structure belongs to space group I4/mmm (No. 139); the cell edges are 4.0846, 4.0846 and 18.1081 Å and the angles 90.00°, 90.00° and 90.00°. The distinct sites, in fractional coordinates, are Nd at (0.0000, 0.0000, 0.1141), Pd at (0.0000, 0.0000, 0.3524), Pd at (0.0000, 0.5000, 0.2500) and Au at (0.0000, 0.0000, 0.5000).